Model w:
Sm4Dy3Ho after structural relaxation, computed with PBE.

```
data_Sm4Dy3Ho
_symmetry_space_group_name_H-M 'C m m m'
_symmetry_Int_Tables_number 65
_symmetry_space_group_name_Hall '-C 2 2'
_cell_length_a 5.664
_cell_length_b 26.046
_cell_length_c 3.614
_cell_angle_alpha 90.00
_cell_angle_beta 90.00
_cell_angle_gamma 90.00
loop_
_atom_site_label
_atom_site_fract_x
_atom_site_fract_y
_atom_site_fract_z
_atom_site_occupancy
Sm1 0.000 0.103 0.000 1
Sm2 0.000 0.223 0.000 1
Dy1 0.000 0.348 0.500 1
Dy2 0.000 0.500 0.000 1
Ho1 0.000 0.000 0.500 1
```

Calculated values
The density is 7.811 g/cm3. Its volume is 533.15 Å³/cell.

Model x:
Sm4Dy3Ho after structural relaxation, computed with PBE.

```
data_Sm4Dy3Ho
_symmetry_space_group_name_H-M 'P m n 21'
_symmetry_Int_Tables_number 31
_symmetry_space_group_name_Hall 'P 2ac -2'
_cell_length_a 11.453
_cell_length_b 7.301
_cell_length_c 6.305
_cell_angle_alpha 90.00
_cell_angle_beta 90.00
_cell_angle_gamma 90.00
loop_
_atom_site_label
_atom_site_fract_x
_atom_site_fract_y
_atom_site_fract_z
_atom_site_occupancy
Sm1 0.000 0.127 0.000 1
Sm2 0.000 0.873 0.500 1
Sm3 0.250 0.127 0.334 1
Dy1 0.000 0.377 0.500 1
Dy2 0.250 0.377 0.833 1
Ho1 0.000 0.623 0.000 1
```

Calculated values
The density is 7.898 g/cm3. Its volume is 527.24 Å³/cell.

Short version: model x is the most stable of them.